1.
# Pa3HAu

An optimized crystal structure of Pa3HAu (PBE-GGA, the Alexandria database).

## Properties
Fermi-level density of states, states/eV per cell: 7.83
Total energy, eV/atom: -7.083
Size of the total moment, μB/atom: 0.000
V, Å³ per cell: 98.9

Lattice parameters (Å, degrees): 4.6242 4.6242 4.6242 90.00 90.00 90.00
Space group Pm-3m (No. 221)
Symmetry-distinct sites (fractional):
Pa 0.0000 0.0000 0.5000 (multiplicity 3)
H 0.0000 0.0000 0.0000 (multiplicity 1)
Au 0.5000 0.5000 0.5000 (multiplicity 1)

***

2.
# Pa4HAu2

An optimized crystal structure of Pa4HAu2 (PBE-GGA, the Alexandria database).

## Properties
Fermi-level density of states, states/eV per cell: 25.19
Total energy, eV/atom: -6.872
Size of the total moment, μB/atom: 0.000
V, Å³ per cell: 305.2

Lattice parameters (Å, degrees): 4.4459 4.4459 15.4411 90.00 90.00 90.00
Space group I4/mmm (No. 139)
Symmetry-distinct sites (fractional):
Pa 0.0000 0.0000 0.1630 (multiplicity 4)
Pa 0.0000 0.5000 0.0000 (multiplicity 4)
H 0.0000 0.0000 0.0000 (multiplicity 2)
Au 0.0000 0.0000 0.3464 (multiplicity 4)

***

3.
# PaH2Au

An optimized crystal structure of PaH2Au (PBE-GGA, the Alexandria database).

## Properties
Fermi-level density of states, states/eV per cell: 8.86
Total energy, eV/atom: -4.948
Size of the total moment, μB/atom: 0.000
V, Å³ per cell: 164.4

Lattice parameters (Å, degrees): 3.2594 3.2594 17.8641 90.00 90.00 120.00
Space group R-3m (No. 166, hexagonal axes)
Symmetry-distinct sites (fractional):
Pa 0.0000 0.0000 0.0000 (multiplicity 3)
H 0.0000 0.0000 0.3995 (multiplicity 6)
Au 0.0000 0.0000 0.5000 (multiplicity 3)

***

4.
# Pa2Sb3H4Au2

An optimized crystal structure of Pa2Sb3H4Au2 (PBE-GGA, the Alexandria database).

## Properties
Fermi-level density of states, states/eV per cell: 12.06
Total energy, eV/atom: -4.854
Size of the total moment, μB/atom: 0.079
V, Å³ per cell: 378.4

Lattice parameters (Å, degrees): 3.9946 3.9946 23.7171 90.00 90.00 90.00
Space group I4/mmm (No. 139)
Symmetry-distinct sites (fractional):
Pa 0.0000 0.0000 0.0754 (multiplicity 4)
Sb 0.0000 0.0000 0.3243 (multiplicity 4)
Sb 0.0000 0.0000 0.5000 (multiplicity 2)
H 0.0000 0.5000 0.0953 (multiplicity 8)
Au 0.0000 0.0000 0.2034 (multiplicity 4)

***

5.
# H2PbAu

An optimized crystal structure of H2PbAu (PBE-GGA, the Alexandria database).

## Properties
Fermi-level density of states, states/eV per cell: 2.82
Total energy, eV/atom: -3.174
Size of the total moment, μB/atom: 0.000
V, Å³ per cell: 246.3

Lattice parameters (Å, degrees): 4.8444 4.8444 10.4943 90.00 90.00 90.00
Space group I-42d (No. 122)
Symmetry-distinct sites (fractional):
H 0.0590 0.2500 0.1250 (multiplicity 8)
Pb 0.0000 0.0000 0.5000 (multiplicity 4)
Au 0.0000 0.0000 0.0000 (multiplicity 4)

***

6.
# H5Pb12Au3

An optimized crystal structure of H5Pb12Au3 (PBE-GGA, the Alexandria database).

## Properties
Fermi-level density of states, states/eV per cell: 80.97
Total energy, eV/atom: -3.347
Size of the total moment, μB/atom: 0.000
V, Å³ per cell: 3785.1

Lattice parameters (Å, degrees): 15.5844 15.5844 15.5844 90.00 90.00 90.00
Space group Ia-3d (No. 230)
Symmetry-distinct sites (fractional):
H 0.0000 0.0000 0.0000 (multiplicity 16)
H 0.0000 0.2500 0.3750 (multiplicity 24)
Pb 0.0348 0.0586 0.6484 (multiplicity 96)
Au 0.0000 0.2500 0.1250 (multiplicity 24)

***

7.
# HPb4Au2

An optimized crystal structure of HPb4Au2 (PBE-GGA, the Alexandria database).

## Properties
Fermi-level density of states, states/eV per cell: 4.11
Total energy, eV/atom: -3.422
Size of the total moment, μB/atom: 0.000
V, Å³ per cell: 341.8

Lattice parameters (Å, degrees): 4.6555 4.6555 15.7707 90.00 90.00 90.00
Space group I4/mmm (No. 139)
Symmetry-distinct sites (fractional):
H 0.0000 0.0000 0.0000 (multiplicity 2)
Pb 0.0000 0.0000 0.1833 (multiplicity 4)
Pb 0.0000 0.5000 0.0000 (multiplicity 4)
Au 0.0000 0.0000 0.3649 (multiplicity 4)

***

8.
# HPbAu2

An optimized crystal structure of HPbAu2 (PBE-GGA, the Alexandria database).

## Properties
Fermi-level density of states, states/eV per cell: 3.39
Total energy, eV/atom: -3.238
Size of the total moment, μB/atom: 0.000
V, Å³ per cell: 296.3

Lattice parameters (Å, degrees): 6.1717 6.1717 7.7796 90.00 90.00 90.00
Space group I-42d (No. 122)
Symmetry-distinct sites (fractional):
H 0.0000 0.0000 0.0000 (multiplicity 4)
Pb 0.0000 0.0000 0.5000 (multiplicity 4)
Au 0.0980 0.2500 0.1250 (multiplicity 8)

***

9.
# H2Pb2Au

An optimized crystal structure of H2Pb2Au (PBE-GGA, the Alexandria database).

## Properties
Fermi-level density of states, states/eV per cell: 2.88
Total energy, eV/atom: -3.136
Size of the total moment, μB/atom: 0.000
V, Å³ per cell: 217.0

Lattice parameters (Å, degrees): 8.0145 8.0145 3.3776 90.00 90.00 90.00
Space group P4/mbm (No. 127)
Symmetry-distinct sites (fractional):
H 0.1069 0.3931 0.0000 (multiplicity 4)
Pb 0.2149 0.2851 0.5000 (multiplicity 4)
Au 0.0000 0.0000 0.5000 (multiplicity 2)

***

10.
# H2Pb3Au2

An optimized crystal structure of H2Pb3Au2 (PBE-GGA, the Alexandria database).

## Properties
Fermi-level density of states, states/eV per cell: 1.19
Total energy, eV/atom: -3.332
Size of the total moment, μB/atom: 0.000
V, Å³ per cell: 144.3

Lattice parameters (Å, degrees): 3.9482 6.3435 6.6879 114.05 90.73 107.26
Space group P-1 (No. 2)
Symmetry-distinct sites (fractional):
H 0.1972 0.3909 0.0355 (multiplicity 2)
Pb 0.0000 0.0000 0.0000 (multiplicity 1)
Pb 0.2104 0.4139 0.7180 (multiplicity 2)
Au 0.4353 0.8754 0.6338 (multiplicity 2)

***

11.
# HPb3Au

An optimized crystal structure of HPb3Au (PBE-GGA, the Alexandria database).

## Properties
Fermi-level density of states, states/eV per cell: 1.48
Total energy, eV/atom: -3.316
Size of the total moment, μB/atom: 0.000
V, Å³ per cell: 115.8

Lattice parameters (Å, degrees): 4.8745 4.8745 4.8745 90.00 90.00 90.00
Space group Pm-3m (No. 221)
Symmetry-distinct sites (fractional):
H 0.0000 0.0000 0.0000 (multiplicity 1)
Pb 0.0000 0.0000 0.5000 (multiplicity 3)
Au 0.5000 0.5000 0.5000 (multiplicity 1)

***

12.
# H3PbAu

An optimized crystal structure of H3PbAu (PBE-GGA, the Alexandria database).

## Properties
Fermi-level density of states, states/eV per cell: 1.92
Total energy, eV/atom: -2.629
Size of the total moment, μB/atom: 0.000
V, Å³ per cell: 69.3

Lattice parameters (Å, degrees): 4.1076 4.1076 4.1076 90.00 90.00 90.00
Space group Pm-3m (No. 221)
Symmetry-distinct sites (fractional):
H 0.0000 0.0000 0.5000 (multiplicity 3)
Pb 0.0000 0.0000 0.0000 (multiplicity 1)
Au 0.5000 0.5000 0.5000 (multiplicity 1)

***

13.
# H2Pb2Au

An optimized crystal structure of H2Pb2Au (PBE-GGA, the Alexandria database).

## Properties
Fermi-level density of states, states/eV per cell: 2.98
Total energy, eV/atom: -3.200
Size of the total moment, μB/atom: 0.000
V, Å³ per cell: 179.1

Lattice parameters (Å, degrees): 3.7216 3.7216 12.9310 90.00 90.00 90.00
Space group I4/mmm (No. 139)
Symmetry-distinct sites (fractional):
H 0.0000 0.5000 0.2500 (multiplicity 4)
Pb 0.0000 0.0000 0.1386 (multiplicity 4)
Au 0.0000 0.0000 0.5000 (multiplicity 2)

***

14.
# HPbAu2

An optimized crystal structure of HPbAu2 (PBE-GGA, the Alexandria database).

## Properties
Fermi-level density of states, states/eV per cell: 5.71
Total energy, eV/atom: -3.022
Size of the total moment, μB/atom: 0.000
V, Å³ per cell: 215.6

Lattice parameters (Å, degrees): 3.1522 3.1522 25.0505 90.00 90.00 120.00
Space group R-3m (No. 166, hexagonal axes)
Symmetry-distinct sites (fractional):
H 0.0000 0.0000 0.0000 (multiplicity 3)
Pb 0.0000 0.0000 0.5000 (multiplicity 3)
Au 0.0000 0.0000 0.3828 (multiplicity 6)

***

15.
# H3PbAu

An optimized crystal structure of H3PbAu (PBE-GGA, the Alexandria database).

## Properties
Fermi-level density of states, states/eV per cell: 1.24
Total energy, eV/atom: -3.041
Size of the total moment, μB/atom: 0.000
V, Å³ per cell: 61.1

Lattice parameters (Å, degrees): 3.9385 3.9385 3.9385 90.00 90.00 90.00
Space group Pm-3m (No. 221)
Symmetry-distinct sites (fractional):
H 0.0000 0.0000 0.5000 (multiplicity 3)
Pb 0.5000 0.5000 0.5000 (multiplicity 1)
Au 0.0000 0.0000 0.0000 (multiplicity 1)

***

16.
# HPb3Au

An optimized crystal structure of HPb3Au (PBE-GGA, the Alexandria database).

## Properties
Fermi-level density of states, states/eV per cell: 3.18
Total energy, eV/atom: -2.780
Size of the total moment, μB/atom: 0.000
V, Å³ per cell: 174.6

Lattice parameters (Å, degrees): 5.5889 5.5889 5.5889 90.00 90.00 90.00
Space group Pm-3m (No. 221)
Symmetry-distinct sites (fractional):
H 0.0000 0.0000 0.0000 (multiplicity 1)
Pb 0.0000 0.5000 0.5000 (multiplicity 3)
Au 0.5000 0.5000 0.5000 (multiplicity 1)

***

17.
# H2PbAu

An optimized crystal structure of H2PbAu (PBE-GGA, the Alexandria database).

## Properties
Fermi-level density of states, states/eV per cell: 3.26
Total energy, eV/atom: -2.781
Size of the total moment, μB/atom: 0.000
V, Å³ per cell: 232.3

Lattice parameters (Å, degrees): 6.1471 6.1471 6.1471 90.00 90.00 90.00
Space group Fm-3m (No. 225)
Symmetry-distinct sites (fractional):
H 0.2500 0.2500 0.2500 (multiplicity 8)
Pb 0.0000 0.0000 0.0000 (multiplicity 4)
Au 0.0000 0.0000 0.5000 (multiplicity 4)

***

18.
# HPbAu2

An optimized crystal structure of HPbAu2 (PBE-GGA, the Alexandria database).

## Properties
Fermi-level density of states, states/eV per cell: 5.01
Total energy, eV/atom: -2.808
Size of the total moment, μB/atom: 0.124
V, Å³ per cell: 309.1

Lattice parameters (Å, degrees): 6.7611 6.7611 6.7611 90.00 90.00 90.00
Space group Fm-3m (No. 225)
Symmetry-distinct sites (fractional):
H 0.0000 0.0000 0.0000 (multiplicity 4)
Pb 0.0000 0.0000 0.5000 (multiplicity 4)
Au 0.2500 0.2500 0.2500 (multiplicity 8)

***

19.
# HPb3Au

An optimized crystal structure of HPb3Au (PBE-GGA, the Alexandria database).

## Properties
Fermi-level density of states, states/eV per cell: 2.57
Total energy, eV/atom: -3.440
Size of the total moment, μB/atom: 0.000
V, Å³ per cell: 237.7

Lattice parameters (Å, degrees): 5.9382 6.0892 7.4761 89.67 86.64 61.77
Space group P-1 (No. 2)
Symmetry-distinct sites (fractional):
H 0.0608 0.1252 0.3988 (multiplicity 2)
Pb 0.1483 0.2732 0.6452 (multiplicity 2)
Pb 0.2429 0.0240 0.1498 (multiplicity 2)
Pb 0.4287 0.6603 0.6856 (multiplicity 2)
Au 0.2071 0.5614 0.0281 (multiplicity 2)

***

20.
# HPdPb2Au

An optimized crystal structure of HPdPb2Au (PBE-GGA, the Alexandria database).

## Properties
Fermi-level density of states, states/eV per cell: 1.36
Total energy, eV/atom: -3.889
Size of the total moment, μB/atom: 0.000
V, Å³ per cell: 97.8

Lattice parameters (Å, degrees): 5.3133 5.3133 3.4643 90.00 90.00 90.00
Space group P4/mmm (No. 123)
Symmetry-distinct sites (fractional):
H 0.0000 0.0000 0.0000 (multiplicity 1)
Pd 0.0000 0.0000 0.5000 (multiplicity 1)
Pb 0.0000 0.5000 0.0000 (multiplicity 2)
Au 0.5000 0.5000 0.5000 (multiplicity 1)